A plane-wave DFT calculation with GGA-PBE was carried out for a relaxed structure of BaPrNi2Sn4.

Structure (CIF):
```
data_BaPrNi2Sn4
_cell_length_a 4.611
_cell_length_b 4.614
_cell_length_c 18.700
_cell_angle_alpha 90.00
_cell_angle_beta 90.00
_cell_angle_gamma 90.00
_space_group_name_H-M_alt 'A m m 2'
_space_group_IT_number 38
_space_group_name_Hall 'A 2 -2'
loop_
_atom_site_label
_atom_site_fract_x
_atom_site_fract_y
_atom_site_fract_z
Ba1 0.000 0.000 0.000
Pr1 0.500 0.000 0.220
Ni1 0.000 0.000 0.789
Ni2 0.500 0.000 0.424
Sn1 0.000 0.000 0.356
Sn2 0.000 0.000 0.657
Sn3 0.500 0.000 0.564
Sn4 0.500 0.000 0.854
```

Results
* total magnetization: 0.00 μB per formula unit
* raw total energy: -4.77 eV/atom



A plane-wave DFT calculation with GGA-PBE was carried out for a relaxed structure of BaNiPt2.

Structure (CIF):
```
data_BaNiPt2
_cell_length_a 6.822
_cell_length_b 6.822
_cell_length_c 6.822
_cell_angle_alpha 90.00
_cell_angle_beta 90.00
_cell_angle_gamma 90.00
_space_group_name_H-M_alt 'F -4 3 m'
_space_group_IT_number 216
_space_group_name_Hall 'F -4 2 3'
loop_
_atom_site_label
_atom_site_fract_x
_atom_site_fract_y
_atom_site_fract_z
Ba1 0.000 0.000 0.000
Ni1 0.250 0.250 0.250
Pt1 0.000 0.000 0.500
Pt2 0.250 0.250 0.750
```

Results
* total magnetization: 0.00 μB per formula unit
* raw total energy: -4.69 eV/atom



A plane-wave DFT calculation with GGA-PBE was carried out for a relaxed structure of RbBaNi.

Structure (CIF):
```
data_RbBaNi
_cell_length_a 7.807
_cell_length_b 7.807
_cell_length_c 7.807
_cell_angle_alpha 90.00
_cell_angle_beta 90.00
_cell_angle_gamma 90.00
_space_group_name_H-M_alt 'F -4 3 m'
_space_group_IT_number 216
_space_group_name_Hall 'F -4 2 3'
loop_
_atom_site_label
_atom_site_fract_x
_atom_site_fract_y
_atom_site_fract_z
Rb1 0.000 0.000 0.000
Ba1 0.000 0.000 0.500
Ni1 0.250 0.250 0.750
```

Results
* distance to the lowest polymorph of the same formula: 0.0 meV/atom
* total magnetization: 0.56 μB per formula unit
* raw total energy: -2.37 eV/atom



A plane-wave DFT calculation with GGA-PBE was carried out for a relaxed structure of Ba6Ni25S27.

Structure (CIF):
```
data_Ba6Ni25S27
_cell_length_a 10.052
_cell_length_b 10.052
_cell_length_c 10.052
_cell_angle_alpha 90.00
_cell_angle_beta 90.00
_cell_angle_gamma 90.00
_space_group_name_H-M_alt 'P m -3 m'
_space_group_IT_number 221
_space_group_name_Hall '-P 4 2 3'
loop_
_atom_site_label
_atom_site_fract_x
_atom_site_fract_y
_atom_site_fract_z
Ba1 0.000 0.000 0.305
Ni1 0.141 0.367 0.367
Ni2 0.500 0.500 0.500
S1 0.000 0.000 0.000
S2 0.000 0.262 0.500
S3 0.222 0.222 0.222
S4 0.261 0.500 0.500
```

Results
* total magnetization: 0.06 μB per formula unit
* raw total energy: -5.22 eV/atom



A plane-wave DFT calculation with GGA-PBE was carried out for a relaxed structure of Ba2TcNiS6.

Structure (CIF):
```
data_Ba2TcNiS6
_cell_length_a 9.495
_cell_length_b 9.495
_cell_length_c 9.495
_cell_angle_alpha 90.00
_cell_angle_beta 90.00
_cell_angle_gamma 90.00
_space_group_name_H-M_alt 'F m -3 m'
_space_group_IT_number 225
_space_group_name_Hall '-F 4 2 3'
loop_
_atom_site_label
_atom_site_fract_x
_atom_site_fract_y
_atom_site_fract_z
Ba1 0.250 0.250 0.250
Tc1 0.000 0.000 0.000
Ni1 0.000 0.000 0.500
S1 0.000 0.000 0.253
```

Results
* total magnetization: 2.35 μB per formula unit
* raw total energy: -5.27 eV/atom



A plane-wave DFT calculation with GGA-PBE was carried out for a relaxed structure of Ba2TcNiS6.

Structure (CIF):
```
data_Ba2TcNiS6
_cell_length_a 11.625
_cell_length_b 6.715
_cell_length_c 6.717
_cell_angle_alpha 90.00
_cell_angle_beta 125.28
_cell_angle_gamma 90.00
_space_group_name_H-M_alt 'C 1 2/m 1'
_space_group_IT_number 12
_space_group_name_Hall '-C 2y'
loop_
_atom_site_label
_atom_site_fract_x
_atom_site_fract_y
_atom_site_fract_z
Ba1 0.250 0.000 0.250
Tc1 0.000 0.000 0.500
Ni1 0.000 0.500 0.000
S1 0.001 0.253 0.754
S2 0.247 0.500 0.249
```

Results
* total magnetization: 2.36 μB per formula unit
* raw total energy: -5.27 eV/atom



A plane-wave DFT calculation with GGA-PBE was carried out for a relaxed structure of Ba2TcNiS6.

Structure (CIF):
```
data_Ba2TcNiS6
_cell_length_a 6.712
_cell_length_b 6.712
_cell_length_c 9.498
_cell_angle_alpha 90.00
_cell_angle_beta 90.00
_cell_angle_gamma 90.00
_space_group_name_H-M_alt 'I 4/m'
_space_group_IT_number 87
_space_group_name_Hall '-I 4'
loop_
_atom_site_label
_atom_site_fract_x
_atom_site_fract_y
_atom_site_fract_z
Ba1 0.000 0.500 0.250
Tc1 0.000 0.000 0.000
Ni1 0.000 0.000 0.500
S1 0.000 0.000 0.253
S2 0.245 0.752 0.500
```

Results
* total magnetization: 2.35 μB per formula unit
* raw total energy: -5.27 eV/atom



A plane-wave DFT calculation with GGA-PBE was carried out for a relaxed structure of Ba2NiSb2.

Structure (CIF):
```
data_Ba2NiSb2
_cell_length_a 7.179
_cell_length_b 14.189
_cell_length_c 6.746
_cell_angle_alpha 90.00
_cell_angle_beta 90.00
_cell_angle_gamma 90.00
_space_group_name_H-M_alt 'I b a m'
_space_group_IT_number 72
_space_group_name_Hall '-I 2 2c'
loop_
_atom_site_label
_atom_site_fract_x
_atom_site_fract_y
_atom_site_fract_z
Ba1 0.195 0.140 0.000
Ni1 0.000 0.500 0.250
Sb1 0.187 0.399 0.000
```

Results
* total magnetization: 0.15 μB per formula unit
* raw total energy: -4.26 eV/atom



A plane-wave DFT calculation with GGA-PBE was carried out for a relaxed structure of BaNi2SnSb.

Structure (CIF):
```
data_BaNi2SnSb
_cell_length_a 4.568
_cell_length_b 4.568
_cell_length_c 10.604
_cell_angle_alpha 90.00
_cell_angle_beta 90.00
_cell_angle_gamma 90.00
_space_group_name_H-M_alt 'P 4/n m m'
_space_group_IT_number 129
loop_
_space_group_symop_operation_xyz
'x,y,z'
'-x,-y,-z'
'-y+1/2,x,z'
'y+1/2,-x,-z'
'-x+1/2,-y+1/2,z'
'x+1/2,y+1/2,-z'
'y,-x+1/2,z'
'-y,x+1/2,-z'
'x+1/2,-y,-z'
'-x+1/2,y,z'
'-y,-x,-z'
'y,x,z'
'-x,y+1/2,-z'
'x,-y+1/2,z'
'y+1/2,x+1/2,-z'
'-y+1/2,-x+1/2,z'
loop_
_atom_site_label
_atom_site_fract_x
_atom_site_fract_y
_atom_site_fract_z
Ba1 0.250 0.250 0.242
Ni1 0.250 0.250 0.628
Ni2 0.250 0.750 0.000
Sn1 0.250 0.750 0.500
Sb1 0.250 0.250 0.880
```

Results
* total magnetization: 0.01 μB per formula unit
* raw total energy: -4.71 eV/atom



A plane-wave DFT calculation with GGA-PBE was carried out for a relaxed structure of BaNi2Se3.

Structure (CIF):
```
data_BaNi2Se3
_cell_length_a 3.904
_cell_length_b 13.690
_cell_length_c 9.814
_cell_angle_alpha 90.00
_cell_angle_beta 90.00
_cell_angle_gamma 90.00
_space_group_name_H-M_alt 'C m c m'
_space_group_IT_number 63
_space_group_name_Hall '-C 2c 2'
loop_
_atom_site_label
_atom_site_fract_x
_atom_site_fract_y
_atom_site_fract_z
Ba1 0.000 0.245 0.250
Ni1 0.000 0.000 0.000
Ni2 0.000 0.464 0.750
Se1 0.000 0.055 0.750
Se2 0.000 0.381 0.539
```

Results
* total magnetization: 0.04 μB per formula unit
* raw total energy: -4.58 eV/atom



A plane-wave DFT calculation with GGA-PBE was carried out for a relaxed structure of Ba2TcNiSe6.

Structure (CIF):
```
data_Ba2TcNiSe6
_cell_length_a 7.069
_cell_length_b 7.069
_cell_length_c 9.991
_cell_angle_alpha 90.00
_cell_angle_beta 90.00
_cell_angle_gamma 90.00
_space_group_name_H-M_alt 'I 4/m'
_space_group_IT_number 87
_space_group_name_Hall '-I 4'
loop_
_atom_site_label
_atom_site_fract_x
_atom_site_fract_y
_atom_site_fract_z
Ba1 0.000 0.500 0.250
Tc1 0.000 0.000 0.000
Ni1 0.000 0.000 0.500
Se1 0.000 0.000 0.255
Se2 0.244 0.753 0.500
```

Results
* total magnetization: 2.22 μB per formula unit
* raw total energy: -4.81 eV/atom



A plane-wave DFT calculation with GGA-PBE was carried out for a relaxed structure of Ba2TcNiSe6.

Structure (CIF):
```
data_Ba2TcNiSe6
_cell_length_a 12.245
_cell_length_b 7.068
_cell_length_c 7.071
_cell_angle_alpha 90.00
_cell_angle_beta 125.28
_cell_angle_gamma 90.00
_space_group_name_H-M_alt 'C 1 2/m 1'
_space_group_IT_number 12
_space_group_name_Hall '-C 2y'
loop_
_atom_site_label
_atom_site_fract_x
_atom_site_fract_y
_atom_site_fract_z
Ba1 0.250 0.000 0.250
Tc1 0.000 0.000 0.500
Ni1 0.000 0.500 0.000
Se1 0.001 0.255 0.246
Se2 0.245 0.500 0.244
```

Results
* total magnetization: 2.21 μB per formula unit
* raw total energy: -4.81 eV/atom